[1]
Computed, not measured: a relaxed structure of KSr2LaOs at the PBE level of DFT.

Geometry as POSCAR:
```
KSr2LaOs
1.0
6.301 0.000 0.000
0.000 6.301 0.000
0.000 0.000 5.326
K Sr La Os
1 2 1 1
direct
0.000 0.000 0.000
0.000 0.500 0.500
0.500 0.000 0.500
0.500 0.500 0.000
0.500 0.500 0.500
```

## Properties
**Uncorrected energy**: -19.68 eV/cell
**Space-group type**: P4/mmm

=====

[2]
Computed, not measured: a relaxed structure of CaSeI2 at the PBE level of DFT.

Geometry as POSCAR:
```
CaSeI2
1.0
-2.676 2.676 10.237
2.676 -2.676 10.237
2.676 2.676 -10.237
Ca Se I
2 2 4
direct
0.000 0.000 0.000
0.750 0.250 0.500
0.250 0.750 0.500
0.500 0.500 0.000
0.127 0.625 0.002
0.375 0.377 0.502
0.623 0.125 0.998
0.875 0.873 0.498
```

## Properties
**Uncorrected energy**: -21.54 eV/cell
**Space-group type**: I-42d
**E_form (uncorrected)**: -53 kJ/mol of atoms

=====

For the records above, the corresponding Fermi-level density of states values read 3.80 0.11 states/eV/f.u..